Entry from the Alexandria database: a relaxed structure of Tl4SnSe3 (GGA-PBEsol).

Cell and atoms, written as POSCAR:
```
Tl4SnSe3
1.0
8.3523 0.0000 0.0000
0.0000 8.3122 0.0000
-0.0185 0.0000 25.5320
Tl Sn Se
32 8 24
Direct
0.0810 0.0000 0.0787
0.0891 0.2708 0.8268
0.1058 0.9905 0.5744
0.1077 0.2908 0.6727
0.1084 0.2965 0.3234
0.1094 0.0014 0.4216
0.1156 0.2972 0.1719
0.2516 0.6266 0.0243
0.3757 0.3113 0.9275
0.3907 0.9797 0.6736
0.3944 0.9803 0.1715
0.3951 0.3088 0.4233
0.4058 0.0087 0.8302
0.4109 0.2855 0.5799
0.4163 0.0124 0.3289
0.4172 0.2707 0.0764
0.5828 0.7707 0.9236
0.5837 0.5124 0.6711
0.5891 0.7855 0.4201
0.5942 0.5087 0.1698
0.6049 0.8088 0.5767
0.6056 0.4803 0.8285
0.6093 0.4797 0.3264
0.6243 0.8113 0.0725
0.7484 0.1266 0.9757
0.8844 0.7972 0.8281
0.8906 0.5014 0.5784
0.8923 0.7908 0.3273
0.8916 0.7965 0.6766
0.8942 0.4905 0.4256
0.9109 0.7708 0.1732
0.9190 0.5000 0.9213
0.1350 0.9403 0.9296
0.2450 0.6456 0.7538
0.2499 0.6410 0.5018
0.2609 0.6551 0.2561
0.7391 0.1551 0.7439
0.7501 0.1410 0.4982
0.7550 0.1456 0.2462
0.8650 0.4403 0.0704
0.0741 0.2903 0.0036
0.1040 0.9604 0.7534
0.1070 0.3308 0.5035
0.1074 0.9601 0.2511
0.2304 0.6386 0.6453
0.2338 0.6543 0.3951
0.2458 0.6349 0.1493
0.2457 0.6568 0.8907
0.3895 0.9817 0.9978
0.4279 0.2917 0.7480
0.4339 0.0058 0.4976
0.4405 0.2862 0.2453
0.5595 0.7862 0.7547
0.5661 0.5058 0.5024
0.5721 0.7917 0.2520
0.6105 0.4817 0.0022
0.7542 0.1349 0.8507
0.7543 0.1568 0.1093
0.7662 0.1543 0.6049
0.7696 0.1386 0.3547
0.8926 0.4601 0.7489
0.8930 0.8308 0.4965
0.8960 0.4604 0.2466
0.9259 0.7903 0.9964
```

Properties
Uncorrected energy = -3.64 eV per atom
Energy relative to the elements, uncorrected = -2.78 eV per formula unit